[1]
Li2TeBr, optimized geometry, DFT GGA-PBE; volume = 22.450 A^3/atom; total moment = 0.00 μB/f.u.; energy = -0.1167 Ha/atom; ΔE_f (raw) = -4.1 eV per formula unit
1.0
1.8518 1.0692 7.5594
-1.8518 1.0692 7.5594
0.0000 -2.1383 7.5594
Li Te Br
2 1 1
direct
0.0000 0.0000 0.0000
0.1875 0.1875 0.1875
0.4255 0.4255 0.4255
0.5960 0.5960 0.5960

***

[2]
LiTeBr2, optimized geometry, DFT GGA-PBE; volume = 27.678 A^3/atom; total moment = 0.00 μB/f.u.; energy = -0.1035 Ha/atom; ΔE_f (raw) = -2.9 eV per formula unit
1.0
1.9407 1.1205 8.4852
-1.9407 1.1205 8.4852
0.0000 -2.2410 8.4852
Li Te Br
1 1 2
direct
0.0000 0.0000 0.0000
0.5000 0.5000 0.5000
0.3918 0.3918 0.3918
0.6082 0.6082 0.6082

***

[3]
LiTeBr2, optimized geometry, DFT GGA-PBE; volume = 26.649 A^3/atom; total moment = 0.30 μB/f.u.; energy = -0.0966 Ha/atom; ΔE_f (raw) = -2.1 eV per formula unit
1.0
3.5368 0.0000 0.0000
0.0000 3.5368 0.0000
0.0000 0.0000 8.5213
Li Te Br
1 1 2
direct
0.0000 0.0000 0.0000
0.5000 0.5000 0.4517
0.0000 0.0000 0.7079
0.5000 0.5000 0.0964

***

[4]
LiTe3Br, optimized geometry, DFT GGA-PBE; volume = 26.920 A^3/atom; total moment = 0.00 μB/f.u.; energy = -0.0883 Ha/atom; ΔE_f (raw) = 1.0 eV per formula unit
1.0
5.1249 0.0000 0.0000
0.0000 5.1249 0.0000
0.0000 0.0000 5.1249
Li Te Br
1 3 1
direct
0.0000 0.0000 0.0000
0.0000 0.0000 0.5000
0.0000 0.5000 0.0000
0.5000 0.0000 0.0000
0.5000 0.5000 0.5000

***

[5]
Li2TeBr, optimized geometry, DFT GGA-PBE; volume = 22.579 A^3/atom; total moment = 0.00 μB/f.u.; energy = -0.1128 Ha/atom; ΔE_f (raw) = -3.6 eV per formula unit
1.0
3.4273 0.0000 0.0000
0.0000 3.4477 0.0000
0.0000 0.0000 7.6432
Li Te Br
2 1 1
direct
0.0000 0.0000 0.2237
0.0000 0.0000 0.7763
0.5000 0.5000 0.5000
0.5000 0.5000 0.0000

***

[6]
LiTeBr2, optimized geometry, DFT GGA-PBE; volume = 35.119 A^3/atom; total moment = 0.00 μB/f.u.; energy = -0.0961 Ha/atom; ΔE_f (raw) = -2.1 eV per formula unit
1.0
4.0423 0.0000 0.0000
0.0000 4.0698 0.0000
0.0000 0.0000 8.5389
Li Te Br
1 1 2
direct
0.0000 0.0000 0.0000
0.5000 0.0000 0.5000
0.0000 0.5000 0.5000
0.5000 0.5000 0.0000

***

[7]
LiTeBr2, optimized geometry, DFT GGA-PBE; volume = 26.175 A^3/atom; total moment = 0.00 μB/f.u.; energy = -0.0895 Ha/atom; ΔE_f (raw) = -1.3 eV per formula unit
1.0
3.8181 -3.8233 0.0000
3.8181 3.8233 0.0000
0.0000 0.0000 3.5863
Li Te Br
1 1 2
direct
0.0000 0.0000 0.0000
0.5000 0.5000 0.0000
0.0000 0.5000 0.5000
0.5000 0.0000 0.5000

***

[8]
LiTeBr2, optimized geometry, DFT GGA-PBE; volume = 26.824 A^3/atom; total moment = 0.01 μB/f.u.; energy = -0.0775 Ha/atom; ΔE_f (raw) = 0.0 eV per formula unit
1.0
0.0000 3.7715 3.7715
3.7715 0.0000 3.7715
3.7715 3.7715 0.0000
Li Te Br
1 1 2
direct
0.0000 0.0000 0.0000
0.2500 0.2500 0.2500
0.5000 0.5000 0.5000
0.7500 0.7500 0.7500

***

[9]
LiTeBr2, optimized geometry, DFT GGA-PBE; volume = 33.268 A^3/atom; total moment = 0.00 μB/f.u.; energy = -0.0962 Ha/atom; ΔE_f (raw) = -2.1 eV per formula unit
1.0
3.7984 0.0000 0.0000
0.0000 6.9490 0.0000
-1.8067 0.0000 5.0416
Li Te Br
1 1 2
direct
0.0000 0.0000 0.0000
0.9935 0.5000 0.9809
0.3595 0.0000 0.7055
0.7383 0.5000 0.4728

***

[10]
Li2TeBr, optimized geometry, DFT GGA-PBE; volume = 24.324 A^3/atom; total moment = 0.00 μB/f.u.; energy = -0.1178 Ha/atom; ΔE_f (raw) = -4.2 eV per formula unit
1.0
3.5608 0.0000 0.0000
0.0000 3.6355 0.0000
0.0000 0.0000 7.5160
Li Te Br
2 1 1
direct
0.0000 0.0000 0.0000
0.5000 0.5000 0.4330
0.0000 0.0000 0.6206
0.5000 0.5000 0.0994

***

[11]
LiTeBr2, optimized geometry, DFT GGA-PBE; volume = 35.433 A^3/atom; total moment = 0.00 μB/f.u.; energy = -0.0961 Ha/atom; ΔE_f (raw) = -2.1 eV per formula unit
1.0
8.7523 -1.9295 0.0000
8.7523 1.9295 0.0000
-0.8322 0.0000 4.1963
Li Te Br
1 1 2
direct
0.0000 0.0000 0.0000
0.2769 0.2769 0.7193
0.5029 0.5029 0.3875
0.7505 0.7505 0.1986

***

[12]
LiTeBr2, optimized geometry, DFT GGA-PBE; volume = 30.721 A^3/atom; total moment = 0.00 μB/f.u.; energy = -0.0984 Ha/atom; ΔE_f (raw) = -2.3 eV per formula unit
1.0
3.7086 -4.0615 0.0000
3.7086 4.0615 0.0000
-3.6828 0.0000 4.0792
Li Te Br
1 1 2
direct
0.0000 0.0000 0.0000
0.5000 0.5000 0.0000
0.0000 0.5000 0.5000
0.5000 0.0000 0.5000

***

[13]
Li2TeBr, optimized geometry, DFT GGA-PBE; volume = 22.651 A^3/atom; total moment = 0.00 μB/f.u.; energy = -0.1150 Ha/atom; ΔE_f (raw) = -3.9 eV per formula unit
1.0
3.3726 0.0000 0.0000
0.0000 5.9231 0.0000
0.0000 0.0000 4.5356
Li Te Br
2 1 1
direct
0.0000 0.0000 0.0000
0.5000 0.5000 0.4989
0.5000 0.0000 0.5001
0.0000 0.5000 0.0010

***

[14]
Li2TeBr, optimized geometry, DFT GGA-PBE; volume = 25.644 A^3/atom; total moment = 0.00 μB/f.u.; energy = -0.0916 Ha/atom; ΔE_f (raw) = -1.3 eV per formula unit
1.0
0.0000 3.7154 3.7154
3.7154 0.0000 3.7154
3.7154 3.7154 0.0000
Li Te Br
2 1 1
direct
0.0000 0.0000 0.0000
0.2500 0.2500 0.2500
0.5000 0.5000 0.5000
0.7500 0.7500 0.7500

***

[15]
LiTeBr2, optimized geometry, DFT GGA-PBE; volume = 27.091 A^3/atom; total moment = 0.00 μB/f.u.; energy = -0.0916 Ha/atom; ΔE_f (raw) = -1.6 eV per formula unit
1.0
-3.8408 3.8408 3.6730
3.8408 -3.8408 3.6730
3.8408 3.8408 -3.6730
Li Te Br
2 2 4
direct
0.0000 0.0000 0.0000
0.7500 0.2500 0.5000
0.2500 0.7500 0.5000
0.5000 0.5000 0.0000
0.0780 0.6250 0.9530
0.3750 0.3280 0.4530
0.6720 0.1250 0.0470
0.8750 0.9220 0.5470

***

[16]
Li12Te3Br5, optimized geometry, DFT GGA-PBE; volume = 24.329 A^3/atom; total moment = 0.00 μB/f.u.; energy = -0.1165 Ha/atom; ΔE_f (raw) = -22.7 eV per formula unit
1.0
-7.8653 7.8653 7.8653
7.8653 -7.8653 7.8653
7.8653 7.8653 -7.8653
Li Te Br
48 12 20
direct
0.0573 0.2243 0.1438
0.0573 0.3330 0.9135
0.0805 0.7243 0.6670
0.0805 0.8562 0.4135
0.0865 0.6438 0.4195
0.0865 0.9427 0.6670
0.1438 0.0573 0.2243
0.1438 0.5865 0.9195
0.1670 0.2243 0.5805
0.1670 0.4427 0.5865
0.2243 0.1438 0.0573
0.2243 0.5805 0.1670
0.2757 0.3330 0.9195
0.2757 0.4427 0.3562
0.3330 0.9135 0.0573
0.3330 0.9195 0.2757
0.3562 0.2757 0.4427
0.3562 0.5805 0.9135
0.4135 0.0805 0.8562
0.4135 0.8330 0.5573
0.4195 0.0865 0.6438
0.4195 0.8330 0.7757
0.4427 0.3562 0.2757
0.4427 0.5865 0.1670
0.5573 0.4135 0.8330
0.5573 0.6438 0.7243
0.5805 0.1670 0.2243
0.5805 0.9135 0.3562
0.5865 0.1670 0.4427
0.5865 0.9195 0.1438
0.6438 0.4195 0.0865
0.6438 0.7243 0.5573
0.6670 0.0805 0.7243
0.6670 0.0865 0.9427
0.7243 0.5573 0.6438
0.7243 0.6670 0.0805
0.7757 0.4195 0.8330
0.7757 0.8562 0.9427
0.8330 0.5573 0.4135
0.8330 0.7757 0.4195
0.8562 0.4135 0.0805
0.8562 0.9427 0.7757
0.9135 0.0573 0.3330
0.9135 0.3562 0.5805
0.9195 0.1438 0.5865
0.9195 0.2757 0.3330
0.9427 0.6670 0.0865
0.9427 0.7757 0.8562
0.1250 0.2500 0.3750
0.1250 0.3750 0.7500
0.2500 0.3750 0.1250
0.2500 0.8750 0.6250
0.3750 0.1250 0.2500
0.3750 0.7500 0.1250
0.6250 0.2500 0.8750
0.6250 0.8750 0.7500
0.7500 0.1250 0.3750
0.7500 0.6250 0.8750
0.8750 0.6250 0.2500
0.8750 0.7500 0.6250
0.0000 0.0000 0.0000
0.0000 0.0000 0.5000
0.0000 0.5000 0.0000
0.0000 0.5000 0.5000
0.1250 0.7500 0.8750
0.1250 0.8750 0.2500
0.2500 0.1250 0.8750
0.2500 0.6250 0.3750
0.3750 0.2500 0.6250
0.3750 0.6250 0.7500
0.5000 0.0000 0.0000
0.5000 0.0000 0.5000
0.5000 0.5000 0.0000
0.5000 0.5000 0.5000
0.6250 0.3750 0.2500
0.6250 0.7500 0.3750
0.7500 0.3750 0.6250
0.7500 0.8750 0.1250
0.8750 0.1250 0.7500
0.8750 0.2500 0.1250

***

[17]
Li2TeBr, optimized geometry, DFT GGA-PBE; volume = 33.272 A^3/atom; total moment = 0.00 μB/f.u.; energy = -0.1138 Ha/atom; ΔE_f (raw) = -3.7 eV per formula unit
1.0
-1.6852 4.1731 4.7311
1.6852 -4.1731 4.7311
1.6852 4.1731 -4.7311
Li Te Br
2 1 1
direct
0.2211 0.0000 0.2211
0.7789 0.0000 0.7789
0.5000 0.5000 0.0000
0.0000 0.5000 0.5000

***

[18]
LiTeBr6, optimized geometry, DFT GGA-PBE; volume = 43.652 A^3/atom; total moment = 0.00 μB/f.u.; energy = -0.0888 Ha/atom; ΔE_f (raw) = -4.2 eV per formula unit
1.0
4.6387 -6.0839 0.0000
4.6387 6.0839 0.0000
-4.2439 0.0000 6.1870
Li Te Br
1 1 6
direct
0.0000 0.0000 0.0000
0.0000 0.0000 0.5000
0.1208 0.8154 0.7352
0.1846 0.8792 0.2648
0.3493 0.3493 0.7953
0.6507 0.6507 0.2047
0.8154 0.1208 0.7352
0.8792 0.1846 0.2648

***

[19]
LiTeBr2, optimized geometry, DFT GGA-PBE; volume = 24.486 A^3/atom; total moment = 0.57 μB/f.u.; energy = -0.0945 Ha/atom; ΔE_f (raw) = -1.9 eV per formula unit
1.0
1.8282 1.0555 8.4598
-1.8282 1.0555 8.4598
0.0000 -2.1110 8.4598
Li Te Br
1 1 2
direct
0.0000 0.0000 0.0000
0.5000 0.5000 0.5000
0.2696 0.2696 0.2696
0.7304 0.7304 0.7304

***

[20]
LiTeBr2, optimized geometry, DFT GGA-PBE; volume = 31.229 A^3/atom; total moment = 0.00 μB/f.u.; energy = -0.0938 Ha/atom; ΔE_f (raw) = -1.8 eV per formula unit
1.0
-1.7253 4.0787 4.4379
1.7253 -4.0787 4.4379
1.7253 4.0787 -4.4379
Li Te Br
1 1 2
direct
0.0000 0.0000 0.0000
0.5000 0.5000 0.0000
0.2160 0.7160 0.5000
0.7840 0.2840 0.5000

***

[21]
LiTeBr2, optimized geometry, DFT GGA-PBE; volume = 32.132 A^3/atom; total moment = 0.00 μB/f.u.; energy = -0.0923 Ha/atom; ΔE_f (raw) = -1.6 eV per formula unit
1.0
3.4355 0.0000 0.0000
0.0000 7.0322 0.0000
0.0000 0.0000 5.3200
Li Te Br
1 1 2
direct
0.0000 0.0000 0.0000
0.5000 0.5000 0.9857
0.0000 0.0000 0.4993
0.5000 0.5000 0.4860

***

[22]
Li3TeBr, optimized geometry, DFT GGA-PBE; volume = 28.350 A^3/atom; total moment = 0.00 μB/f.u.; energy = -0.1139 Ha/atom; ΔE_f (raw) = -4.9 eV per formula unit
1.0
5.2140 0.0000 0.0000
0.0000 5.2140 0.0000
0.0000 0.0000 5.2140
Li Te Br
3 1 1
direct
0.0000 0.0000 0.5000
0.0000 0.5000 0.0000
0.5000 0.0000 0.0000
0.0000 0.0000 0.0000
0.5000 0.5000 0.5000

***

[23]
LiTl2TeBr6, optimized geometry, DFT GGA-PBE; volume = 38.356 A^3/atom; total moment = 1.03 μB/f.u.; energy = -0.0983 Ha/atom; ΔE_f (raw) = -6.9 eV per formula unit
1.0
7.7710 0.0000 0.0000
0.0000 11.1156 0.0000
0.0000 0.0000 8.8809
Li Tl Te Br
2 4 2 12
direct
0.2500 0.2500 0.2005
0.7500 0.7500 0.7995
0.2500 0.0132 0.6563
0.2500 0.4868 0.6563
0.7500 0.5132 0.3437
0.7500 0.9868 0.3437
0.2500 0.7500 0.2092
0.7500 0.2500 0.7908
0.0049 0.7500 0.4305
0.0060 0.7500 0.9932
0.2500 0.0435 0.3076
0.2500 0.4565 0.3076
0.4940 0.7500 0.9932
0.4951 0.7500 0.4305
0.5049 0.2500 0.5695
0.5060 0.2500 0.0068
0.7500 0.5435 0.6924
0.7500 0.9565 0.6924
0.9940 0.2500 0.0068
0.9951 0.2500 0.5695

***

[24]
LiYTe2Br, optimized geometry, DFT GGA-PBE; volume = 30.590 A^3/atom; total moment = 0.52 μB/f.u.; energy = -0.1311 Ha/atom; ΔE_f (raw) = -1.5 eV per formula unit
1.0
5.9382 0.0000 0.0000
0.0000 5.9382 0.0000
0.0000 0.0000 4.3375
Li Y Te Br
1 1 2 1
direct
0.0000 0.0000 0.0000
0.5000 0.5000 0.0000
0.0000 0.5000 0.5000
0.5000 0.0000 0.5000
0.0000 0.0000 0.5000